{"formula": "NaTcMo", "functional": "PBE-GGA", "state": "optimized geometry", "vol_a3_per_atom": 18.91, "magnetic_moment_mub_per_cell": 0.00, "relative_energy_mev_per_atom": 0, "lattice_angstrom": [[4.0243, -1.5435, 0.1583], [1.6299, -1.3927, 3.7425], [0.6702, -4.2146, 0.6251]], "species": ["Na", "Tc", "Mo"], "frac_coords": [[0.7500, 0.7500, 0.7500], [0.0000, 0.0000, 0.0000], [0.2500, 0.2500, 0.2500]]}